## P
This record from the Alexandria database describes a crystal of InReIr2 relaxed with PBEsol. The functional is meta-GGA SCAN.

Properties
- V: 15.508 Å³/atom
- Mass density: 18.3 Mg/m³
- Density of states at the Fermi level: 2.278 states/eV/f.u.

abc: 2.843 4.606 4.737
angles: 90.00 90.00 90.00
Space group Pmmm (No. 47)
Symmetry-distinct sites (fractional):
In: 0.000 0.000 0.000
Re: 0.500 0.000 0.500
Ir: 0.000 0.500 0.500
Ir: 0.500 0.500 0.000



## Q
This record from the Alexandria database describes a crystal of InReIr2 relaxed with PBEsol. The functional is meta-GGA SCAN.

Properties
- V: 15.647 Å³/atom
- Mass density: 18.2 Mg/m³
- Density of states at the Fermi level: 2.807 states/eV/f.u.

abc: 6.303 6.303 6.303
angles: 90.00 90.00 90.00
Space group Fm-3m (No. 225)
Symmetry-distinct sites (fractional):
In: 0.000 0.000 0.000
Re: 0.000 0.000 0.500
Ir: 0.250 0.250 0.250



Stability verdict: Q, ahead by 2.5 kJ/mol of atoms



## P
This record from the Alexandria database describes a crystal of InIrRh relaxed with PBEsol. The functional is meta-GGA SCAN.

Properties
- V: 15.548 Å³/atom
- Mass density: 14.6 Mg/m³
- Density of states at the Fermi level: 4.570 states/eV/f.u.

abc: 2.838 3.870 8.495
angles: 90.00 90.00 90.00
Space group Imm2 (No. 44)
Symmetry-distinct sites (fractional):
In: 0.000 0.000 0.000
Ir: 0.000 0.000 0.671
Rh: 0.000 0.000 0.329



## Q
This record from the Alexandria database describes a crystal of InIrRh relaxed with PBEsol. The functional is meta-GGA SCAN.

Properties
- V: 18.272 Å³/atom
- Mass density: 12.4 Mg/m³
- Density of states at the Fermi level: 4.628 states/eV/f.u.

abc: 6.030 6.030 6.030
angles: 90.00 90.00 90.00
Space group F-43m (No. 216)
Symmetry-distinct sites (fractional):
In: 0.000 0.000 0.000
Ir: 0.250 0.250 0.750
Rh: 0.250 0.250 0.250



Stability verdict: P, ahead by 47.4 kJ/mol of atoms



## P
This record from the Alexandria database describes a crystal of InTeIr2 relaxed with PBEsol. The functional is meta-GGA SCAN.

Properties
- V: 18.827 Å³/atom
- Mass density: 13.8 Mg/m³
- Density of states at the Fermi level: 2.304 states/eV/f.u.

abc: 3.024 3.024 8.234
angles: 90.00 90.00 90.00
Space group P4mm (No. 99)
Symmetry-distinct sites (fractional):
In: 0.000 0.000 0.000
Te: 0.500 0.500 0.643
Ir: 0.000 0.000 0.437
Ir: 0.500 0.500 0.218



## Q
This record from the Alexandria database describes a crystal of InTeIr2 relaxed with PBEsol. The functional is meta-GGA SCAN.

Properties
- V: 17.753 Å³/atom
- Mass density: 14.7 Mg/m³
- Density of states at the Fermi level: 2.722 states/eV/f.u.

abc: 8.540 3.166 5.385
angles: 90.00 102.72 90.00
Space group C2/m (No. 12)
Symmetry-distinct sites (fractional):
In: 0.000 0.000 0.000
Te: 0.000 0.500 0.500
Ir: 0.250 0.000 0.740



Stability verdict: Q, ahead by 3.7 kJ/mol of atoms



## P
This record from the Alexandria database describes a crystal of In2IrW relaxed with PBEsol. The functional is meta-GGA SCAN.

Properties
- V: 17.442 Å³/atom
- Mass density: 14.4 Mg/m³
- Density of states at the Fermi level: 2.353 states/eV/f.u.

abc: 5.816 9.270 2.890
angles: 90.00 116.40 90.00
Space group C2/m (No. 12)
Symmetry-distinct sites (fractional):
In: 0.250 0.250 0.000
Ir: 0.000 0.000 0.500
W: 0.000 0.500 0.500



## Q
This record from the Alexandria database describes a crystal of In2IrW relaxed with PBEsol. The functional is meta-GGA SCAN.

Properties
- V: 17.267 Å³/atom
- Mass density: 14.6 Mg/m³
- Density of states at the Fermi level: 2.739 states/eV/f.u.

abc: 9.320 2.927 5.169
angles: 90.00 101.61 90.00
Space group C2/m (No. 12)
Symmetry-distinct sites (fractional):
In: 0.246 0.000 0.246
Ir: 0.000 0.500 0.000
W: 0.000 0.000 0.500



Stability verdict: Q, ahead by 5.5 kJ/mol of atoms



## P
This record from the Alexandria database describes a crystal of K2In relaxed with PBEsol. The functional is meta-GGA SCAN.

Properties
- V: 46.853 Å³/atom
- Mass density: 2.3 Mg/m³
- Density of states at the Fermi level: 2.376 states/eV/f.u.

abc: 13.632 4.318 10.165
angles: 90.00 110.01 90.00
Space group C2/m (No. 12)
Symmetry-distinct sites (fractional):
K: 0.019 0.000 0.182
K: 0.174 0.500 0.645
In: 0.199 0.500 0.051



## Q
This record from the Alexandria database describes a crystal of K2In relaxed with PBEsol. The functional is meta-GGA SCAN.

Properties
- V: 45.474 Å³/atom
- Mass density: 2.3 Mg/m³
- Density of states at the Fermi level: 1.692 states/eV/f.u.

abc: 6.262 17.707 4.922
angles: 90.00 90.00 90.00
Space group Cmcm (No. 63)
Symmetry-distinct sites (fractional):
K: 0.000 0.079 0.250
K: 0.000 0.304 0.750
In: 0.000 0.460 0.250



Stability verdict: Q, ahead by 1.0 kJ/mol of atoms



## P
This record from the Alexandria database describes a crystal of K5In relaxed with PBEsol. The functional is meta-GGA SCAN.

Properties
- V: 61.329 Å³/atom
- Mass density: 1.4 Mg/m³
- Density of states at the Fermi level: 5.831 states/eV/f.u.

abc: 7.5970 7.5970 7.3622
angles: 90.00 90.00 120.00
Space group P6/mmm (No. 191)
Symmetry-distinct sites (fractional):
K: 0.0000 0.5000 0.0000
K: 0.3333 0.6667 0.5000
In: 0.0000 0.0000 0.5000



## Q
This record from the Alexandria database describes a crystal of K5In relaxed with PBEsol. The functional is meta-GGA SCAN.

Properties
- V: 55.489 Å³/atom
- Mass density: 1.5 Mg/m³
- Density of states at the Fermi level: 4.678 states/eV/f.u.

abc: 15.166 4.605 10.215
angles: 90.00 111.04 90.00
Space group Cm (No. 8)
Symmetry-distinct sites (fractional):
K: 0.000 0.000 0.000
K: 0.018 0.000 0.410
K: 0.203 0.500 0.848
K: 0.226 0.500 0.261
K: 0.361 0.000 0.633
In: 0.361 0.000 0.126



Stability verdict: Q, ahead by 25.5 kJ/mol of atoms



## P
This record from the Alexandria database describes a crystal of KLiIn relaxed with PBEsol. The functional is meta-GGA SCAN.

Properties
- V: 30.462 Å³/atom
- Mass density: 2.9 Mg/m³
- Density of states at the Fermi level: 1.716 states/eV/f.u.

abc: 3.801 3.801 12.653
angles: 90.00 90.00 90.00
Space group I4mm (No. 107)
Symmetry-distinct sites (fractional):
K: 0.000 0.000 0.000
Li: 0.000 0.000 0.724
In: 0.000 0.000 0.295



## Q
This record from the Alexandria database describes a crystal of KLiIn relaxed with PBEsol. The functional is meta-GGA SCAN.

Properties
- V: 34.177 Å³/atom
- Mass density: 2.6 Mg/m³
- Density of states at the Fermi level: 2.134 states/eV/f.u.

abc: 7.430 7.430 7.430
angles: 90.00 90.00 90.00
Space group F-43m (No. 216)
Symmetry-distinct sites (fractional):
K: 0.000 0.000 0.000
Li: 0.250 0.250 0.250
In: 0.000 0.000 0.500



Stability verdict: P, ahead by 26.6 kJ/mol of atoms



## P
This record from the Alexandria database describes a crystal of KMg2In2 relaxed with PBEsol. The functional is meta-GGA SCAN.

Properties
- V: 29.238 Å³/atom
- Mass density: 3.6 Mg/m³
- Density of states at the Fermi level: 3.094 states/eV/f.u.

abc: 4.807 4.807 12.654
angles: 90.00 90.00 90.00
Space group I4/mmm (No. 139)
Symmetry-distinct sites (fractional):
K: 0.000 0.000 0.000
Mg: 0.000 0.500 0.250
In: 0.000 0.000 0.387



## Q
This record from the Alexandria database describes a crystal of KMg2In2 relaxed with PBEsol. The functional is meta-GGA SCAN.

Properties
- V: 26.706 Å³/atom
- Mass density: 3.9 Mg/m³
- Density of states at the Fermi level: 2.434 states/eV/f.u.

abc: 9.190 9.190 3.162
angles: 90.00 90.00 90.00
Space group P4/mbm (No. 127)
Symmetry-distinct sites (fractional):
K: 0.000 0.000 0.000
Mg: 0.137 0.363 0.500
In: 0.154 0.654 0.000



Stability verdict: Q, ahead by 1.0 kJ/mol of atoms



## P
This record from the Alexandria database describes a crystal of KMnIn2 relaxed with PBEsol. The functional is meta-GGA SCAN.

Properties
- V: 25.245 Å³/atom
- Mass density: 5.3 Mg/m³
- Density of states at the Fermi level: 2.236 states/eV/f.u.

abc: 5.915 3.010 6.362
angles: 90.00 116.93 90.00
Space group P2/m (No. 10)
Symmetry-distinct sites (fractional):
K: 0.000 0.000 0.000
Mn: 0.000 0.500 0.500
In: 0.500 0.000 0.500
In: 0.500 0.500 0.000



## Q
This record from the Alexandria database describes a crystal of KMnIn2 relaxed with PBEsol. The functional is meta-GGA SCAN.

Properties
- V: 26.975 Å³/atom
- Mass density: 5.0 Mg/m³
- Density of states at the Fermi level: 1.668 states/eV/f.u.

abc: 3.155 4.264 8.019
angles: 90.00 90.00 90.00
Space group Pmm2 (No. 25)
Symmetry-distinct sites (fractional):
K: 0.000 0.000 0.000
Mn: 0.500 0.500 0.339
In: 0.000 0.000 0.440
In: 0.500 0.500 0.685



Stability verdict: Q, ahead by 18.9 kJ/mol of atoms



## P
This record from the Alexandria database describes a crystal of KMnIn2 relaxed with PBEsol. The functional is meta-GGA SCAN.

Properties
- V: 24.709 Å³/atom
- Mass density: 5.4 Mg/m³
- Density of states at the Fermi level: 2.679 states/eV/f.u.

abc: 4.653 4.653 4.565
angles: 90.00 90.00 90.00
Space group P4/mmm (No. 123)
Symmetry-distinct sites (fractional):
K: 0.000 0.000 0.000
Mn: 0.500 0.500 0.000
In: 0.000 0.500 0.500



## Q
This record from the Alexandria database describes a crystal of KMnIn2 relaxed with PBEsol. The functional is meta-GGA SCAN.

Properties
- V: 26.584 Å³/atom
- Mass density: 5.1 Mg/m³
- Density of states at the Fermi level: 2.081 states/eV/f.u.

abc: 8.976 3.093 7.699
angles: 90.00 95.86 90.00
Space group C2/m (No. 12)
Symmetry-distinct sites (fractional):
K: 0.000 0.000 0.000
Mn: 0.000 0.500 0.500
In: 0.239 0.000 0.675



## R
This record from the Alexandria database describes a crystal of KMnIn2 relaxed with PBEsol. The functional is meta-GGA SCAN.

Properties
- V: 27.663 Å³/atom
- Mass density: 4.9 Mg/m³
- Density of states at the Fermi level: 3.135 states/eV/f.u.

abc: 3.676 3.676 8.189
angles: 90.00 90.00 90.00
Space group P4mm (No. 99)
Symmetry-distinct sites (fractional):
K: 0.000 0.000 0.000
Mn: 0.500 0.500 0.340
In: 0.000 0.000 0.442
In: 0.500 0.500 0.681



Stability verdict: Q, ahead by 11.3 kJ/mol of atoms



## P
This record from the Alexandria database describes a crystal of KIn2Mo relaxed with PBEsol. The functional is meta-GGA SCAN.

Properties
- V: 28.078 Å³/atom
- Mass density: 5.4 Mg/m³
- Density of states at the Fermi level: 2.609 states/eV/f.u.

abc: 2.957 4.738 8.016
angles: 90.00 90.11 90.00
Space group Pm (No. 6)
Symmetry-distinct sites (fractional):
K: 0.000 0.000 0.000
In: 0.497 0.000 0.391
In: 0.498 0.500 0.690
Mo: 0.996 0.500 0.395



## Q
This record from the Alexandria database describes a crystal of KIn2Mo relaxed with PBEsol. The functional is meta-GGA SCAN.

Properties
- V: 22.936 Å³/atom
- Mass density: 6.6 Mg/m³
- Density of states at the Fermi level: 2.077 states/eV/f.u.

abc: 2.969 2.969 10.411
angles: 90.00 90.00 90.00
Space group P4mm (No. 99)
Symmetry-distinct sites (fractional):
K: 0.000 0.000 0.000
In: 0.000 0.000 0.470
In: 0.500 0.500 0.712
Mo: 0.500 0.500 0.275



Stability verdict: P, ahead by 20.7 kJ/mol of atoms



## P
This record from the Alexandria database describes a crystal of K2InPb relaxed with PBEsol. The functional is meta-GGA SCAN.

Properties
- V: 36.509 Å³/atom
- Mass density: 4.6 Mg/m³
- Density of states at the Fermi level: 1.922 states/eV/f.u.

abc: 13.349 4.051 6.051
angles: 90.00 116.80 90.00
Space group Cm (No. 8)
Symmetry-distinct sites (fractional):
K: 0.000 0.000 0.000
K: 0.199 0.000 0.698
In: 0.258 0.500 0.256
Pb: 0.439 0.000 0.440



## Q
This record from the Alexandria database describes a crystal of K2InPb relaxed with PBEsol. The functional is meta-GGA SCAN.

Properties
- V: 33.187 Å³/atom
- Mass density: 5.0 Mg/m³
- Density of states at the Fermi level: 2.895 states/eV/f.u.

abc: 4.811 4.831 11.423
angles: 90.00 90.00 90.00
Space group Cmmm (No. 65)
Symmetry-distinct sites (fractional):
K: 0.000 0.000 0.248
In: 0.000 0.500 0.500
Pb: 0.000 0.500 0.000



Stability verdict: P, ahead by 15.1 kJ/mol of atoms